1.
A plane-wave DFT calculation with PBE was carried out for crystalline LiHg2Pd at its relaxed geometry.

Summary:
As for the total energy: -2.239 eV/atom. The value obtained for the energy relative to the lowest polymorph listed for this composition is 0.0 meV/atom. The total magnetic moment comes out at 0.0 μB per cell. The calculated volume comes out at 18.11 Å³/atom. The space group is Fm-3m, No. 225.

abc: 4.679 4.679 4.679
angles: 60.00 60.00 60.00
Sites, in units of the cell vectors:
Hg  0.250  0.250  0.250
Li  0.000  0.000  0.000
Hg  0.750  0.750  0.750
Pd  0.500  0.500  0.500

2.
A plane-wave DFT calculation with PBE was carried out for crystalline LiHg3Pd at its relaxed geometry.

Summary:
As for the total energy: -1.610 eV/atom. The value obtained for the energy relative to the lowest polymorph listed for this composition is 218.0 meV/atom. The total magnetic moment comes out at 0.0 μB per cell. The calculated volume comes out at 29.38 Å³/atom. The space group is Pm-3m, No. 221.

abc: 5.277 5.277 5.277
angles: 90.00 90.00 90.00
Sites, in units of the cell vectors:
Hg  0.000  0.500  0.000
Pd  0.000  0.000  0.000
Hg  0.500  0.000  0.000
Hg  0.000  0.000  0.500
Li  0.500  0.500  0.500

3.
A plane-wave DFT calculation with PBE was carried out for crystalline Li2Hg2Pd5 at its relaxed geometry.

Summary:
As for the total energy: -3.483 eV/atom. The total magnetic moment comes out at 0.0 μB per cell. The calculated volume comes out at 17.85 Å³/atom. The space group is Ima2, No. 46.

abc: 7.054 6.707 8.354
angles: 113.67 114.98 90.00
Sites, in units of the cell vectors:
Li  0.283  0.387  0.500
Pd  0.683  0.685  0.699
Pd  0.069  0.059  0.500
Hg  0.111  0.611  0.263
Hg  0.347  0.847  0.737
Pd  0.872  0.857  0.091
Li  0.500  0.637  0.000
Pd  0.317  0.986  0.301
Li  0.000  0.137  0.000
Pd  0.281  0.266  0.909
Pd  0.128  0.766  0.909
Pd  0.484  0.486  0.301
Li  0.717  0.887  0.500
Pd  0.931  0.559  0.500
Hg  0.653  0.111  0.263
Pd  0.516  0.185  0.699
Pd  0.719  0.357  0.091
Hg  0.889  0.347  0.737

4.
A plane-wave DFT calculation with PBE was carried out for crystalline Li6Hg3Pd at its relaxed geometry.

Summary:
As for the total energy: -2.104 eV/atom. The value obtained for the energy relative to the lowest polymorph listed for this composition is 0.0 meV/atom. The total magnetic moment comes out at 0.0 μB per cell. The calculated volume comes out at 16.91 Å³/atom. The space group is P2_1/m, No. 11.

abc: 4.706 7.702 9.970
angles: 110.57 90.00 90.00
Sites, in units of the cell vectors:
Li  0.750  0.767  0.512
Hg  0.250  0.340  0.786
Li  0.250  0.655  0.686
Pd  0.250  0.950  0.591
Li  0.750  0.345  0.314
Li  0.250  0.869  0.309
Li  0.250  0.158  0.186
Hg  0.250  0.774  0.987
Li  0.750  0.534  0.911
Li  0.250  0.233  0.488
Li  0.750  0.131  0.691
Hg  0.750  0.660  0.214
Li  0.750  0.948  0.126
Hg  0.750  0.445  0.605
Hg  0.250  0.555  0.395
Li  0.250  0.052  0.874
Li  0.250  0.466  0.089
Pd  0.750  0.050  0.409
Li  0.750  0.842  0.814
Hg  0.750  0.226  0.013

5.
A plane-wave DFT calculation with PBE was carried out for crystalline Li9Hg3Pd2 at its relaxed geometry.

Summary:
As for the total energy: -2.307 eV/atom. The total magnetic moment comes out at 0.0 μB per cell. The calculated volume comes out at 16.78 Å³/atom. The space group is Immm, No. 71.

abc: 4.177 10.214 7.795
angles: 130.93 105.54 90.00
Sites, in units of the cell vectors:
Li  0.626  0.252  0.252
Li  0.626  0.000  0.252
Li  0.138  0.856  0.276
Hg  0.283  0.283  0.566
Pd  0.500  0.652  0.000
Li  0.138  0.420  0.276
Li  0.862  0.580  0.724
Pd  0.500  0.348  0.000
Li  0.000  0.500  0.000
Li  0.862  0.144  0.724
Hg  0.717  0.717  0.434
Li  0.374  0.000  0.748
Li  0.374  0.748  0.748
Hg  0.000  0.000  0.000

6.
A plane-wave DFT calculation with PBE was carried out for crystalline LiHg2Pd at its relaxed geometry.

Summary:
As for the total energy: -2.004 eV/atom. The value obtained for the energy relative to the lowest polymorph listed for this composition is 235.2 meV/atom. The total magnetic moment comes out at 0.0 μB per cell. The calculated volume comes out at 20.97 Å³/atom. The space group is I-42d, No. 122.

abc: 4.185 4.185 10.023
angles: 77.95 77.95 90.00
Sites, in units of the cell vectors:
Hg  0.375  0.372  0.750
Hg  0.628  0.125  0.250
Li  0.250  0.750  0.500
Hg  0.122  0.625  0.250
Li  0.500  0.500  0.000
Pd  0.000  0.000  0.000
Pd  0.750  0.250  0.500
Hg  0.875  0.878  0.750

7.
A plane-wave DFT calculation with PBE was carried out for crystalline Li2HgPd at its relaxed geometry.

Summary:
As for the total energy: -2.727 eV/atom. The total magnetic moment comes out at 0.0 μB per cell. The calculated volume comes out at 15.58 Å³/atom. The space group is P4/mmm, No. 123.

abc: 3.147 3.147 6.291
angles: 90.00 90.00 90.00
Sites, in units of the cell vectors:
Li  0.000  0.000  0.721
Li  0.000  0.000  0.279
Pd  0.500  0.500  0.500
Hg  0.500  0.500  0.000

8.
A plane-wave DFT calculation with PBE was carried out for crystalline LiHg2Pd4 at its relaxed geometry.

Summary:
As for the total energy: -3.213 eV/atom. The value obtained for the energy relative to the lowest polymorph listed for this composition is 279.9 meV/atom. The total magnetic moment comes out at 0.0 μB per cell. The calculated volume comes out at 17.95 Å³/atom. The space group is I4/mmm, No. 139.

abc: 4.231 4.231 7.630
angles: 73.90 73.90 90.00
Sites, in units of the cell vectors:
Hg  0.360  0.360  0.279
Li  0.000  0.000  0.000
Pd  0.834  0.834  0.332
Pd  0.500  0.000  0.000
Pd  0.166  0.166  0.668
Hg  0.640  0.640  0.721
Pd  0.000  0.500  0.000

9.
A plane-wave DFT calculation with PBE was carried out for crystalline Li3HgPd4 at its relaxed geometry.

Summary:
As for the total energy: -3.652 eV/atom. The value obtained for the energy relative to the lowest polymorph listed for this composition is 85.4 meV/atom. The total magnetic moment comes out at 0.0 μB per cell. The calculated volume comes out at 15.27 Å³/atom. The space group is Imm2, No. 44.

abc: 5.824 5.824 5.824
angles: 78.40 128.20 125.64
Sites, in units of the cell vectors:
Pd  0.336  0.751  0.585
Pd  0.327  0.761  0.088
Li  0.829  0.243  0.072
Pd  0.327  0.239  0.565
Li  0.078  0.000  0.078
Hg  0.590  0.500  0.090
Pd  0.835  0.249  0.585
Li  0.829  0.757  0.586

10.
A plane-wave DFT calculation with PBE was carried out for crystalline LiHg2Pd2 at its relaxed geometry.

Summary:
As for the total energy: -2.820 eV/atom. The value obtained for the energy relative to the lowest polymorph listed for this composition is 44.6 meV/atom. The total magnetic moment comes out at 0.0 μB per cell. The calculated volume comes out at 19.30 Å³/atom. The space group is P4/mbm, No. 127.

abc: 7.875 7.875 3.112
angles: 90.00 90.00 90.00
Sites, in units of the cell vectors:
Pd  0.128  0.372  0.000
Pd  0.628  0.128  0.000
Hg  0.670  0.830  0.500
Hg  0.830  0.330  0.500
Hg  0.170  0.670  0.500
Pd  0.872  0.628  0.000
Li  0.500  0.500  0.000
Li  0.000  0.000  0.000
Pd  0.372  0.872  0.000
Hg  0.330  0.170  0.500

11.
A plane-wave DFT calculation with PBE was carried out for crystalline Li9Hg4Pd11 at its relaxed geometry.

Summary:
As for the total energy: -3.494 eV/atom. The total magnetic moment comes out at 0.0 μB per cell. The calculated volume comes out at 15.48 Å³/atom. The space group is Cmmm, No. 65.

abc: 2.998 11.385 11.385
angles: 107.01 90.00 90.00
Sites, in units of the cell vectors:
Hg  0.500  0.748  0.575
Pd  0.000  0.640  0.360
Pd  0.000  0.964  0.607
Li  0.500  0.991  0.805
Pd  0.000  0.795  0.795
Hg  0.500  0.425  0.252
Li  0.500  0.615  0.153
Li  0.500  0.500  0.500
Pd  0.000  0.607  0.964
Hg  0.500  0.252  0.425
Hg  0.500  0.575  0.748
Li  0.500  0.847  0.385
Pd  0.000  0.000  0.000
Li  0.500  0.385  0.847
Pd  0.000  0.205  0.205
Li  0.500  0.009  0.195
Li  0.500  0.805  0.991
Pd  0.000  0.813  0.187
Pd  0.000  0.187  0.813
Pd  0.000  0.393  0.036
Pd  0.000  0.036  0.393
Pd  0.000  0.360  0.640
Li  0.500  0.153  0.615
Li  0.500  0.195  0.009